[1]
A plane-wave DFT calculation with GGA-PBE was carried out for an optimized crystal structure of Co3ReW.

CIF file:
```
data_Co3ReW
_cell_length_a 4.3335
_cell_length_b 4.3335
_cell_length_c 4.3335
_cell_angle_alpha 90.00
_cell_angle_beta 90.00
_cell_angle_gamma 90.00
_space_group_name_H-M_alt 'P m -3 m'
_space_group_IT_number 221
_space_group_name_Hall '-P 4 2 3'
loop_
_atom_site_label
_atom_site_fract_x
_atom_site_fract_y
_atom_site_fract_z
Co1 0.0000 0.0000 0.5000
Re1 0.0000 0.0000 0.0000
W1 0.5000 0.5000 0.5000
```

Output
Energy relative to the elements   893 kJ/mol of formula units
Magnetization   2.3 Bohr magnetons per cell



[2]
A plane-wave DFT calculation with GGA-PBE was carried out for an optimized crystal structure of Co6ReW.

CIF file:
```
data_Co6ReW
_cell_length_a 7.1825
_cell_length_b 10.1421
_cell_length_c 10.1292
_cell_angle_alpha 90.00
_cell_angle_beta 90.00
_cell_angle_gamma 90.00
_space_group_name_H-M_alt 'C m m m'
_space_group_IT_number 65
_space_group_name_Hall '-C 2 2'
loop_
_atom_site_label
_atom_site_fract_x
_atom_site_fract_y
_atom_site_fract_z
Co1 0.0000 0.0000 0.0000
Co2 0.0000 0.0000 0.5000
Co3 0.0000 0.2483 0.2477
Co4 0.0000 0.5000 0.0000
Co5 0.0000 0.5000 0.5000
Co6 0.2479 0.1244 0.3735
Co7 0.2478 0.1261 0.1237
Re1 0.0000 0.0000 0.2513
Re2 0.0000 0.2523 0.0000
W1 0.0000 0.2516 0.5000
W2 0.0000 0.5000 0.2511
```

Output
Energy relative to the elements   18 kJ/mol of formula units
Magnetization   0.9 Bohr magnetons per cell



[3]
A plane-wave DFT calculation with GGA-PBE was carried out for an optimized crystal structure of ZnCoReW.

CIF file:
```
data_ZnCoReW
_cell_length_a 6.0732
_cell_length_b 6.0732
_cell_length_c 6.0732
_cell_angle_alpha 90.00
_cell_angle_beta 90.00
_cell_angle_gamma 90.00
_space_group_name_H-M_alt 'F -4 3 m'
_space_group_IT_number 216
_space_group_name_Hall 'F -4 2 3'
loop_
_atom_site_label
_atom_site_fract_x
_atom_site_fract_y
_atom_site_fract_z
Zn1 0.0000 0.0000 0.0000
Co1 0.2500 0.2500 0.2500
Re1 0.2500 0.2500 0.7500
W1 0.0000 0.0000 0.5000
```

Output
Energy relative to the elements   56 kJ/mol of formula units
Magnetization   0.0 Bohr magnetons per cell



[4]
A plane-wave DFT calculation with GGA-PBE was carried out for an optimized crystal structure of YCoRe2.

CIF file:
```
data_YCoRe2
_cell_length_a 3.0027
_cell_length_b 4.2234
_cell_length_c 5.5300
_cell_angle_alpha 90.00
_cell_angle_beta 102.96
_cell_angle_gamma 90.00
_space_group_name_H-M_alt 'P 1 m 1'
_space_group_IT_number 6
_space_group_name_Hall 'P -2y'
loop_
_atom_site_label
_atom_site_fract_x
_atom_site_fract_y
_atom_site_fract_z
Y1 0.0000 0.0000 0.0000
Co1 0.5807 0.5000 0.1985
Re1 0.2608 0.5000 0.5893
Re2 0.6732 0.0000 0.4858
```

Output
Energy relative to the elements   109 kJ/mol of formula units
Magnetization   0.0 Bohr magnetons per cell



[5]
A plane-wave DFT calculation with GGA-PBE was carried out for an optimized crystal structure of YCoRe2.

CIF file:
```
data_YCoRe2
_cell_length_a 11.2813
_cell_length_b 2.7673
_cell_length_c 4.5444
_cell_angle_alpha 90.00
_cell_angle_beta 113.31
_cell_angle_gamma 90.00
_space_group_name_H-M_alt 'C 1 2/m 1'
_space_group_IT_number 12
_space_group_name_Hall '-C 2y'
loop_
_atom_site_label
_atom_site_fract_x
_atom_site_fract_y
_atom_site_fract_z
Y1 0.0000 0.0000 0.0000
Co1 0.0000 0.5000 0.5000
Re1 0.2132 0.0000 0.7133
```

Output
Energy relative to the elements   86 kJ/mol of formula units
Magnetization   0.0 Bohr magnetons per cell



[6]
A plane-wave DFT calculation with GGA-PBE was carried out for an optimized crystal structure of YCoRe2.

CIF file:
```
data_YCoRe2
_cell_length_a 4.6800
_cell_length_b 4.6800
_cell_length_c 16.3014
_cell_angle_alpha 90.00
_cell_angle_beta 90.00
_cell_angle_gamma 90.00
_space_group_name_H-M_alt 'I -4 2 d'
_space_group_IT_number 122
_space_group_name_Hall 'I -4 2bw'
loop_
_atom_site_label
_atom_site_fract_x
_atom_site_fract_y
_atom_site_fract_z
Y1 0.0000 0.0000 0.0000
Co1 0.0000 0.0000 0.5000
Re1 0.0428 0.2500 0.6250
```

Output
Energy relative to the elements   318 kJ/mol of formula units
Magnetization   0.0 Bohr magnetons per cell



[7]
A plane-wave DFT calculation with GGA-PBE was carried out for an optimized crystal structure of YCoRe.

CIF file:
```
data_YCoRe
_cell_length_a 6.1208
_cell_length_b 6.1208
_cell_length_c 6.1208
_cell_angle_alpha 90.00
_cell_angle_beta 90.00
_cell_angle_gamma 90.00
_space_group_name_H-M_alt 'F -4 3 m'
_space_group_IT_number 216
_space_group_name_Hall 'F -4 2 3'
loop_
_atom_site_label
_atom_site_fract_x
_atom_site_fract_y
_atom_site_fract_z
Y1 0.0000 0.0000 0.0000
Co1 0.2500 0.2500 0.7500
Re1 0.0000 0.0000 0.5000
```

Output
Energy relative to the elements   167 kJ/mol of formula units
Magnetization   4.6 Bohr magnetons per cell



[8]
A plane-wave DFT calculation with GGA-PBE was carried out for an optimized crystal structure of YCo3Re.

CIF file:
```
data_YCo3Re
_cell_length_a 4.4798
_cell_length_b 4.4798
_cell_length_c 4.4798
_cell_angle_alpha 90.00
_cell_angle_beta 90.00
_cell_angle_gamma 90.00
_space_group_name_H-M_alt 'P m -3 m'
_space_group_IT_number 221
_space_group_name_Hall '-P 4 2 3'
loop_
_atom_site_label
_atom_site_fract_x
_atom_site_fract_y
_atom_site_fract_z
Y1 0.0000 0.0000 0.0000
Co1 0.0000 0.5000 0.5000
Re1 0.5000 0.5000 0.5000
```

Output
Energy relative to the elements   323 kJ/mol of formula units
Magnetization   0.0 Bohr magnetons per cell



[9]
A plane-wave DFT calculation with GGA-PBE was carried out for an optimized crystal structure of YCoRe2.

CIF file:
```
data_YCoRe2
_cell_length_a 3.1028
_cell_length_b 4.7564
_cell_length_c 4.6919
_cell_angle_alpha 90.00
_cell_angle_beta 100.13
_cell_angle_gamma 90.00
_space_group_name_H-M_alt 'P 1 2/m 1'
_space_group_IT_number 10
_space_group_name_Hall '-P 2y'
loop_
_atom_site_label
_atom_site_fract_x
_atom_site_fract_y
_atom_site_fract_z
Y1 0.0000 0.0000 0.0000
Co1 0.5000 0.0000 0.5000
Re1 0.3346 0.5000 0.7247
```

Output
Energy relative to the elements   151 kJ/mol of formula units
Magnetization   1.2 Bohr magnetons per cell



[10]
A plane-wave DFT calculation with GGA-PBE was carried out for an optimized crystal structure of YCoRe.

CIF file:
```
data_YCoRe
_cell_length_a 3.0790
_cell_length_b 3.0790
_cell_length_c 6.4644
_cell_angle_alpha 90.00
_cell_angle_beta 90.00
_cell_angle_gamma 120.00
_space_group_name_H-M_alt 'P 3 m 1'
_space_group_IT_number 156
_space_group_name_Hall 'P 3 -2"'
loop_
_atom_site_label
_atom_site_fract_x
_atom_site_fract_y
_atom_site_fract_z
Y1 0.0000 0.0000 0.0000
Co1 0.6667 0.3333 0.3622
Re1 0.3333 0.6667 0.6231
```

Output
Energy relative to the elements   180 kJ/mol of formula units
Magnetization   0.5 Bohr magnetons per cell



[11]
A plane-wave DFT calculation with GGA-PBE was carried out for an optimized crystal structure of YCoRe2.

CIF file:
```
data_YCoRe2
_cell_length_a 2.7676
_cell_length_b 3.2817
_cell_length_c 7.3404
_cell_angle_alpha 90.00
_cell_angle_beta 90.00
_cell_angle_gamma 90.00
_space_group_name_H-M_alt 'P m m m'
_space_group_IT_number 47
_space_group_name_Hall '-P 2 2'
loop_
_atom_site_label
_atom_site_fract_x
_atom_site_fract_y
_atom_site_fract_z
Y1 0.0000 0.0000 0.0000
Co1 0.0000 0.0000 0.5000
Re1 0.5000 0.5000 0.3147
```

Output
Energy relative to the elements   153 kJ/mol of formula units
Magnetization   0.0 Bohr magnetons per cell



[12]
A plane-wave DFT calculation with GGA-PBE was carried out for an optimized crystal structure of YCoRe4.

CIF file:
```
data_YCoRe4
_cell_length_a 7.4583
_cell_length_b 7.4583
_cell_length_c 7.4583
_cell_angle_alpha 90.00
_cell_angle_beta 90.00
_cell_angle_gamma 90.00
_space_group_name_H-M_alt 'F -4 3 m'
_space_group_IT_number 216
_space_group_name_Hall 'F -4 2 3'
loop_
_atom_site_label
_atom_site_fract_x
_atom_site_fract_y
_atom_site_fract_z
Y1 0.0000 0.0000 0.0000
Co1 0.2500 0.2500 0.7500
Re1 0.1246 0.1246 0.3754
```

Output
Energy relative to the elements   172 kJ/mol of formula units
Magnetization   8.6 Bohr magnetons per cell



[13]
A plane-wave DFT calculation with GGA-PBE was carried out for an optimized crystal structure of YCoRe2.

CIF file:
```
data_YCoRe2
_cell_length_a 5.3399
_cell_length_b 9.4526
_cell_length_c 2.7931
_cell_angle_alpha 90.00
_cell_angle_beta 111.60
_cell_angle_gamma 90.00
_space_group_name_H-M_alt 'C 1 2/m 1'
_space_group_IT_number 12
_space_group_name_Hall '-C 2y'
loop_
_atom_site_label
_atom_site_fract_x
_atom_site_fract_y
_atom_site_fract_z
Y1 0.0000 0.0000 0.0000
Co1 0.0000 0.5000 0.0000
Re1 0.2500 0.2500 0.5000
```

Output
Energy relative to the elements   170 kJ/mol of formula units
Magnetization   3.2 Bohr magnetons per cell



[14]
A plane-wave DFT calculation with GGA-PBE was carried out for an optimized crystal structure of Y3CoRe.

CIF file:
```
data_Y3CoRe
_cell_length_a 5.0221
_cell_length_b 5.0221
_cell_length_c 5.0221
_cell_angle_alpha 90.00
_cell_angle_beta 90.00
_cell_angle_gamma 90.00
_space_group_name_H-M_alt 'P m -3 m'
_space_group_IT_number 221
_space_group_name_Hall '-P 4 2 3'
loop_
_atom_site_label
_atom_site_fract_x
_atom_site_fract_y
_atom_site_fract_z
Y1 0.0000 0.0000 0.5000
Co1 0.0000 0.0000 0.0000
Re1 0.5000 0.5000 0.5000
```

Output
Energy relative to the elements   306 kJ/mol of formula units
Magnetization   1.5 Bohr magnetons per cell